No. 1
Compound: ScIn2
Source: the Alexandria database
Functional: GGA-PBE
Structure: relaxed

The structure in POSCAR format:
```
ScIn2
1.0
4.9985 0.0000 0.0000
0.0000 4.9985 0.0000
0.0000 0.0000 3.3254
Sc In
1 2
Cartesian
0.0000 0.0000 0.0000
0.0000 2.4993 1.6627
2.4993 0.0000 1.6627
```

## Properties
- E_form: -206 meV per atom
- VASP energy: -0.3044 Ry/atom

---

No. 2
Compound: ScIn8
Source: the Alexandria database
Functional: GGA-PBE
Structure: relaxed

The structure in POSCAR format:
```
ScIn8
1.0
-5.0549 5.0549 2.2547
5.0549 -5.0549 2.2547
5.0549 5.0549 -2.2547
Sc In
1 8
Cartesian
0.0000 0.0000 0.0000
3.3400 0.0000 0.0000
6.7698 0.0000 0.0000
0.0000 3.3400 0.0000
3.3954 3.3954 0.0000
1.6595 -1.6595 2.2547
-1.6595 1.6595 2.2547
1.6595 1.6595 2.2547
0.0000 6.7698 0.0000
```

## Properties
- E_form: -41 meV per atom
- VASP energy: -0.2336 Ry/atom

---

No. 3
Compound: ScIn2
Source: the Alexandria database
Functional: GGA-PBE
Structure: relaxed

The structure in POSCAR format:
```
ScIn2
1.0
0.0000 2.5694 6.3364
2.1991 0.0000 6.3364
2.1991 2.5694 0.0000
Sc In
1 2
Cartesian
0.0000 0.0000 0.0000
2.1991 2.5694 4.2539
2.1991 2.5694 8.4190
```

## Properties
- E_form: -198 meV per atom
- VASP energy: -0.3039 Ry/atom

---

No. 4
Compound: ScIn
Source: the Alexandria database
Functional: GGA-PBE
Structure: relaxed

The structure in POSCAR format:
```
ScIn
1.0
0.0000 4.6585 5.7842
3.7164 0.0000 5.7842
3.7164 4.6585 0.0000
Sc In
4 4
Cartesian
2.7873 0.7233 4.3382
4.6455 3.0525 7.2303
2.7873 6.2645 4.3382
4.6455 8.5937 7.2303
4.2028 3.4939 4.3382
6.0610 5.8231 7.2303
1.3718 3.4939 4.3382
3.2300 5.8231 7.2303
```

## Properties
- E_form: -170 meV per atom
- VASP energy: -0.3458 Ry/atom

---

No. 5
Compound: Sc5In6
Source: the Alexandria database
Functional: GGA-PBE
Structure: relaxed

The structure in POSCAR format:
```
Sc5In6
1.0
7.8234 -3.5226 0.0000
7.8234 3.5226 0.0000
-1.5622 0.0000 4.7118
Sc In
5 6
Cartesian
0.0000 0.0000 0.0000
1.4693 0.0000 3.1037
4.5189 0.0000 1.5186
9.5658 0.0000 3.1932
12.6153 0.0000 1.6081
4.0610 1.6300 3.9812
7.0423 1.5236 2.3559
10.0236 1.6300 0.7306
4.0610 -1.6300 3.9812
7.0423 -1.5236 2.3559
10.0236 -1.6300 0.7306
```

## Properties
- E_form: -363 meV per atom
- VASP energy: -0.3480 Ry/atom

---

No. 6
Compound: ScIn3
Source: the Alexandria database
Functional: GGA-PBE
Structure: relaxed

The structure in POSCAR format:
```
ScIn3
1.0
3.2869 0.0000 0.0000
0.0000 3.2869 0.0000
0.0000 0.0000 9.2900
Sc In
1 3
Cartesian
0.0000 0.0000 0.0000
0.0000 0.0000 4.6450
1.6435 1.6435 2.0752
1.6435 1.6435 7.2148
```

## Properties
- E_form: -143 meV per atom
- VASP energy: -0.2778 Ry/atom

---

No. 7
Compound: Sc5In
Source: the Alexandria database
Functional: GGA-PBE
Structure: relaxed

The structure in POSCAR format:
```
Sc5In
1.0
5.8849 0.0000 0.0000
-2.9424 5.0965 0.0000
0.0000 0.0000 5.2464
Sc In
5 1
Cartesian
-1.4712 2.5482 0.0000
0.0000 3.3976 2.6232
2.9424 0.0000 0.0000
1.4712 2.5482 0.0000
2.9424 1.6988 2.6232
0.0000 0.0000 2.6232
```

## Properties
- E_form: 332 meV per atom
- Energy above the most stable polymorph in this dataset: 3.06 eV per formula unit
- VASP energy: -0.3969 Ry/atom

---

No. 8
Compound: ScIn
Source: the Alexandria database
Functional: GGA-PBE
Structure: relaxed

The structure in POSCAR format:
```
ScIn
1.0
-5.5438 5.5438 1.6722
5.5438 -5.5438 1.6722
5.5438 5.5438 -1.6722
Sc In
4 4
Cartesian
3.9834 1.1071 0.0000
4.4367 -1.5604 1.6722
1.1071 7.1042 0.0000
1.5604 4.4367 1.6722
9.2318 0.9941 0.0000
0.9941 1.8559 0.0000
4.5497 3.6880 1.6722
-3.6880 4.5497 1.6722
```

## Properties
- E_form: -113 meV per atom
- VASP energy: -0.3416 Ry/atom